1.
Here is an optimized crystal structure of K2ScNi from the Alexandria database. Energies are from GGA-PBE.

Properties
As for the total energy: -11.97 eV/f.u. Its calculated formation energy is 0.59 eV per atom. The calculation puts the energy relative to the lowest polymorph listed for this composition at 615 meV/atom.

The structure in POSCAR format:
```
K2ScNi
1.0
-5.180 0.850 -11.414
9.947 -5.863 -4.951
1.342 -4.544 -7.862
Ni K Sc
2 4 2
direct
0.750 0.250 0.500
0.000 0.000 0.000
0.783 0.125 0.250
0.375 0.217 0.750
0.875 0.033 0.750
0.967 0.625 0.250
0.500 0.500 0.000
0.250 0.750 0.500
```



2.
Here is an optimized crystal structure of AsP2Ru from the Alexandria database. Energies are from GGA-PBE.

Properties
As for the total energy: -24.11 eV/f.u. Its calculated formation energy is 0.16 eV per atom.

The structure in POSCAR format:
```
AsP2Ru
1.0
2.973 0.000 0.000
0.000 2.975 0.000
0.000 0.000 6.736
As Ru P
1 1 2
direct
0.500 0.500 0.750
0.500 0.500 0.250
0.000 0.000 0.465
0.000 0.000 0.035
```



3.
Here is an optimized crystal structure of Pm3In3Ag from the Alexandria database. Energies are from GGA-PBE.

Properties
As for the total energy: -28.26 eV/f.u. Its calculated formation energy is -0.42 eV per atom.

The structure in POSCAR format:
```
Pm3In3Ag
1.0
4.680 0.000 0.705
2.308 5.742 0.563
0.167 0.052 14.779
In Ag Pm
6 2 6
direct
0.979 0.810 0.232
0.021 0.190 0.768
0.866 0.722 0.545
0.134 0.278 0.455
0.883 0.158 0.076
0.117 0.842 0.924
0.758 0.094 0.390
0.242 0.906 0.610
0.462 0.693 0.384
0.538 0.307 0.616
0.399 0.280 0.923
0.735 0.758 0.773
0.601 0.720 0.077
0.265 0.242 0.227
```



4.
Here is an optimized crystal structure of LaIr from the Alexandria database. Energies are from GGA-PBE.

Properties
As for the total energy: -14.64 eV/f.u. Its calculated formation energy is -0.42 eV per atom.

The structure in POSCAR format:
```
LaIr
1.0
-0.015 -3.206 -0.421
1.044 2.300 -5.133
4.823 -0.256 1.783
Ir La
2 2
direct
0.967 0.934 0.042
0.283 0.566 0.708
0.726 0.452 0.186
0.524 0.048 0.564
```



5.
Here is an optimized crystal structure of Pm3Tl3SbSe8 from the Alexandria database. Energies are from GGA-PBE.

Properties
As for the total energy: -70.12 eV/f.u. The value obtained for the formation energy (no corrections) is -16.78 eV/f.u.

The structure in POSCAR format:
```
Pm3Tl3SbSe8
1.0
-7.239 0.248 -4.443
-0.230 -0.842 8.454
2.363 8.215 -3.392
Tl Se Pm Sb
3 8 3 1
direct
0.000 0.000 0.000
0.000 0.500 0.000
0.500 0.500 0.000
0.772 0.544 0.297
0.253 0.025 0.297
0.737 0.474 0.711
0.772 0.025 0.297
0.228 0.975 0.703
0.228 0.456 0.703
0.263 0.526 0.289
0.747 0.975 0.703
0.500 0.500 0.500
0.500 0.000 0.500
0.000 0.500 0.500
0.000 0.000 0.500
```



6.
Here is an optimized crystal structure of NdBeSi2Ni from the Alexandria database. Energies are from GGA-PBE.

Properties
As for the total energy: -28.45 eV/f.u. The value obtained for the formation energy (no corrections) is -3.33 eV/f.u.

The structure in POSCAR format:
```
NdBeSi2Ni
1.0
3.969 0.000 0.000
0.000 3.969 0.000
-1.984 -1.984 4.916
Si Ni Be Nd
2 1 1 1
direct
0.373 0.373 0.747
0.627 0.627 0.253
0.250 0.750 0.500
0.750 0.250 0.500
0.000 0.000 0.000
```